No. 1
4
Lattice="-4.7597 -2.2239 5.7732 -2.9171 -4.9967 5.2397 -1.7129 -2.5210 7.1862" Properties=species:S:1:pos:R:3 comment="ReNiTe2 (PBE-GGA, optimized geometry)" polymorph_energy_mev_per_atom=310.5 e_form_raw_mev_per_atom=416 pbc="T T T"
Ni -2.3474 -2.4354 4.5498
Re -7.0423 -7.3062 13.6493
Te -9.3542 -9.7049 18.1303
Te -4.7303 -4.9076 9.1682

=====

No. 2
4
Lattice="-6.0563 -0.8982 5.7705 -3.7251 -3.3665 6.7509 -3.2690 -0.0084 7.7523" Properties=species:S:1:pos:R:3 comment="CrSbSe2 (PBE-GGA, optimized geometry)" polymorph_energy_mev_per_atom=138.2 e_form_raw_mev_per_atom=-178 pbc="T T T"
Cr -3.2626 -1.0683 5.0684
Sb -9.7878 -3.2048 15.2053
Se -12.7519 -4.1754 19.8101
Se -6.8236 -2.2343 10.6005

=====

No. 3
7
Lattice="-3.3439 -0.5415 2.8184 -2.5119 -1.5411 -3.2763 5.5996 -6.8353 1.8856" Properties=species:S:1:pos:R:3 comment="Pr2HoBi2O2 (PBE-GGA, optimized geometry)" e_form_raw_mev_per_atom=-1875 pbc="T T T"
Pr 2.0857 -6.1491 1.2933
Pr -2.3420 -2.7687 0.1344
Ho 0.0000 0.0000 0.0000
Bi 1.0143 -2.9904 0.6290
Bi -1.2706 -5.9274 0.7987
O -1.2559 -0.7705 -1.6382
O -1.6720 -0.2707 1.4092

=====

No. 4
20
Lattice="-1.7857 2.2771 6.2833 -6.2158 -0.5033 2.9941 2.0732 -10.5204 6.1006" Properties=species:S:1:pos:R:3 comment="Hf3BiAs (PBE-GGA, optimized geometry)" polymorph_energy_mev_per_atom=0.0 e_form_mev_per_atom=-245 pbc="T T T"
Hf -5.0771 -7.3061 12.8466
Hf 0.0577 -6.7809 5.4868
Hf -0.8512 -1.4405 2.5314
Hf -5.9860 -1.9657 9.8912
Hf -4.0662 -5.8016 10.2102
Hf -0.9556 -8.2869 8.1215
Hf -1.8621 -2.9450 5.1678
Hf -4.9726 -0.4597 7.2565
Hf -3.8327 -9.6829 9.9820
Hf -3.6279 -5.9361 6.5390
Hf -2.3004 -2.8105 8.8390
Hf -2.0956 0.9364 5.3960
Bi -2.1233 -7.5880 11.8348
Bi -0.8133 -5.1918 8.0450
Bi -3.8050 -1.1586 3.5431
Bi -5.1149 -3.5548 7.3330
As -2.0713 -5.5118 4.5473
As -0.8928 1.1386 3.1417
As -2.4002 -1.0640 6.9673
As -3.5280 -7.6826 8.4107

=====

No. 5
6
Lattice="-1.0233 -0.7788 -3.9763 2.9931 -2.9094 -0.2011 -4.1529 -4.4064 1.9325" Properties=species:S:1:pos:R:3 comment="Ga4CuAg (PBE-GGA, optimized geometry)" polymorph_energy_mev_per_atom=0.0 e_form_mev_per_atom=-45 pbc="T T T"
Ga 1.5330 -4.2863 -1.7567
Ga -0.7279 -6.6851 -0.7046
Ga -1.7115 -4.8429 1.3829
Ga 0.5494 -2.4440 0.3302
Cu -3.1717 -6.2357 -0.1648
Ag 0.9170 -5.0984 0.7579

=====

No. 6
11
Lattice="4.7578 0.0000 0.0000 0.0000 4.7578 0.0000 -2.3789 -2.3789 12.7325" Properties=species:S:1:pos:R:3 comment="Pm4Ho2Sb3N2 (PBE-GGA, optimized geometry)" e_form_raw_mev_per_atom=-1138 pbc="T T T"
Pm 0.0000 2.3789 10.5861
Pm 2.3789 0.0000 10.5861
Pm 0.0000 2.3789 2.1464
Pm 2.3789 0.0000 2.1464
Ho 0.0000 0.0000 7.8229
Ho 2.3789 2.3789 4.9096
Sb 0.0000 0.0000 0.0000
Sb 0.0000 0.0000 4.6268
Sb 2.3789 2.3789 8.1056
N 0.0000 0.0000 9.9957
N 2.3789 2.3789 2.7368

=====

No. 7
16
Lattice="0.7889 -3.2703 -6.5007 6.2042 -3.1136 2.3214 -5.4102 -8.1959 3.4665" Properties=species:S:1:pos:R:3 comment="La14HoSn (PBE-GGA, optimized geometry)" e_form_mev_per_atom=-100 pbc="T T T"
La 1.4653 -7.2704 0.7413
La -1.2308 -7.3484 -3.6509
La 4.5681 -4.8086 -4.2395
La 1.8631 -8.9065 -2.5061
La 1.0692 -1.6145 -2.1485
La -1.6358 -5.7125 -0.4151
La 1.7751 -10.9306 0.6219
La 4.5594 -6.7127 -1.1620
La -1.6237 -7.8279 2.6531
La 1.1606 -3.6100 0.8691
La 1.3936 -9.3383 3.7803
La 4.1742 -5.1262 1.9987
La -1.2408 -9.4202 -0.5028
La 1.5474 -5.1965 -2.2892
Ho 1.4645 -3.2507 -5.4001
Sn 4.1743 -3.1723 -0.9856

=====

No. 8
5
Lattice="-4.6340 1.0160 0.7615 -0.4024 -3.9084 2.7656 1.2043 2.6035 3.8546" Properties=species:S:1:pos:R:3 comment="CsP3Ru (PBE-GGA, optimized geometry)" polymorph_energy_mev_per_atom=0.0 e_form_mev_per_atom=440 pbc="T T T"
Cs -1.9161 -0.1444 3.6909
Ru 0.0000 0.0000 0.0000
P -0.2012 -1.9542 1.3828
P 0.6021 1.3018 1.9273
P -2.3170 0.5080 0.3808

=====

No. 9
4
Lattice="4.9701 0.0000 0.0000 0.0000 4.9701 0.0004 -2.4851 -2.4851 4.4127" Properties=species:S:1:pos:R:3 comment="DyHoInPb (PBE-GGA, optimized geometry)" polymorph_energy_mev_per_atom=0.0 e_form_mev_per_atom=-437 pbc="T T T"
Dy 2.4851 -0.0001 2.2064
Ho 0.0000 2.4857 2.2067
In -2.4851 2.4847 4.4131
Pb 0.0000 -0.0003 4.4129

=====

No. 10
12
Lattice="-4.3427 3.1090 5.7725 -3.3870 -2.0389 -6.7984 1.2785 -7.1422 3.0220" Properties=species:S:1:pos:R:3 comment="Sm6Bi5Te (PBE-GGA, optimized geometry)" e_form_raw_mev_per_atom=-1022 pbc="T T T"
Te 0.0000 0.0000 0.0000
Bi -3.5443 -1.3194 5.1899
Bi -4.0242 1.3931 1.5824
Bi -3.2256 -3.0360 0.9981
Bi -3.7056 -0.3230 -2.6083
Bi -2.9069 -4.7526 -3.1938
Sm -1.7770 -0.6609 2.6019
Sm -4.9938 -3.6898 3.5977
Sm -0.9797 -5.0771 2.0046
Sm -5.4715 -0.9950 -0.0085
Sm -1.4574 -2.3823 -1.6016
Sm -4.6743 -5.4112 -0.6058